A relaxed SrNiSn3 crystal. Source: Alexandria via LeMat-Bulk, functional PBE.

Calculated values
Electronic total energy in eV per atom: -2.427
DOS at the Fermi energy in states/eV/f.u.: 6.73
E_form in eV per atom: 1.47
Volume in Å³ per atom: 41.7

POSCAR file:
```
SrNiSn3
1.0
-2.477 -4.412 3.090
0.627 -3.614 -4.658
5.350 -1.619 1.977
Sn Ni Sr
3 1 1
direct
0.000 0.500 0.000 Sn
0.000 0.000 0.500 Sn
0.500 0.000 0.000 Sn
0.500 0.500 0.500 Ni
0.000 0.000 0.000 Sr
```